The following is a GGA-PBE calculation of a relaxed La15Nd4Sc crystal, from Alexandria via LeMat-Bulk.

Results
crystal system = tetragonal
DFT total energy = -4.950 eV per atom
formation energy from the elements = 0.015 eV/atom
D(E_F) = 1.661 states/eV/atom
magnetic moment = 0.00 μB/cell

abc: 5.2173 5.2173 26.1866
angles: 90.00 90.00 90.00
Closest atoms and distances in Å follow each position.
Space group P4/mmm (No. 123)
One atom of each set of equivalent atoms:
La: 0.0000 0.0000 0.0000  8 La 3.63, 4 Sc 3.69
La: 0.0000 0.0000 0.1975  4 Nd 3.69, 8 La 3.70-3.72
La: 0.0000 0.0000 0.3993  4 Nd 3.69, 8 La 3.71-3.73
La: 0.0000 0.5000 0.0962  8 La 3.63-3.72, 2 Sc 3.63, 2 Nd 3.71
La: 0.0000 0.5000 0.2977  8 La 3.69-3.73, 4 Nd 3.72
La: 0.0000 0.5000 0.5000  8 La 3.69-3.71, 4 Nd 3.71
Nd: 0.5000 0.5000 0.1967  12 La 3.69-3.72
Nd: 0.5000 0.5000 0.3990  12 La 3.69-3.72
Sc: 0.5000 0.5000 0.0000  12 La 3.63-3.69

=====

The following is a GGA-PBE calculation of a relaxed Pm8Nd2Sm crystal, from Alexandria via LeMat-Bulk.

Results
crystal system = monoclinic
DFT total energy = -4.738 eV per atom
formation energy from the elements = 0.013 eV/atom
energy above the lowest structure with this stoichiometry = 0 meV per atom
D(E_F) = 1.560 states/eV/atom
magnetic moment = 0.00 μB/cell

abc: 18.6083 5.1657 8.1783
angles: 90.00 105.28 90.00
Closest atoms and distances in Å follow each position.
Space group C2/m (No. 12)
One atom of each set of equivalent atoms:
Pm: 0.0453 0.0000 0.2276  9 Pm 3.64-3.66, 2 Sm 3.65, 1 Nd 3.65
Pm: 0.0905 0.5000 0.9539  8 Pm 3.64-3.66, 1 Sm 3.65, 3 Nd 3.66
Pm: 0.1358 0.0000 0.6807  7 Pm 3.64-3.66, 2 Sm 3.64, 3 Nd 3.66-3.67
Pm: 0.1816 0.5000 0.4090  1 Sm 3.65, 8 Pm 3.65-3.66, 3 Nd 3.65-3.66
Nd: 0.2273 0.0000 0.1366  10 Pm 3.65-3.67, 2 Nd 3.66
Sm: 0.0000 0.5000 0.5000  12 Pm 3.64-3.65

=====

The following is a GGA-PBE calculation of a relaxed SmDy3Er5 crystal, from Alexandria via LeMat-Bulk.

Results
crystal system = monoclinic
DFT total energy = -4.265 eV per atom
formation energy from the elements = 0.329 eV/atom
energy above the lowest structure with this stoichiometry = 0 meV per atom
D(E_F) = 1.508 states/eV/atom
magnetic moment = 0.00 μB/cell

abc: 17.1199 6.1543 11.1828
angles: 90.00 90.67 90.00
Closest atoms and distances in Å follow each position.
Space group C2/c (No. 15)
One atom of each set of equivalent atoms:
Sm: 0.0000 0.1230 0.2500  2 Dy 2.90, 2 Er 2.92-3.23
Dy: 0.0000 0.0000 0.0000  2 Sm 2.90
Dy: 0.1641 0.2804 0.0842  5 Er 3.34-3.68, 2 Dy 3.42-3.53, 1 Sm 3.52
Er: 0.0000 0.4024 0.7500  2 Sm 2.92-3.23, 2 Er 3.21
Er: 0.1647 0.2733 0.4133  4 Er 3.33-3.72, 3 Dy 3.35-3.68, 1 Sm 3.47
Er: 0.1732 0.2024 0.7477  3 Er 3.21-3.47, 2 Dy 3.34-3.49, 1 Sm 3.58

=====

> Which value of D(E_F) does entry 3 give?

1.508 states/eV/atom

=====

> Which of these has the highest formation energy from the elements?

SmDy3Er5

=====

> What is the magnetic moment in the third record?

0.00 μB/cell

=====

> Number 1 is which compound?

La15Nd4Sc